29
Lattice="9.143 0.000 0.000 -2.829 8.827 0.000 -2.837 -4.503 8.710" Properties=species:S:1:pos:R:3 comment="GGA-PBE In16Ga12Bi, optimized geometry" delta_e_f_mev_per_atom=41 magnetic_moment_mub_per_atom=0.00 dft_energy_ev_per_cell=-82.8 pbc="T T T"
In 0.000 0.000 0.000
In -3.088 0.604 5.895
In -2.790 5.175 2.392
In 1.335 -0.747 3.151
In 0.946 2.405 2.271
In 1.093 -3.036 5.886
In 0.185 0.468 5.956
In 0.276 5.431 3.189
In 3.172 0.534 0.732
In 1.346 3.457 5.732
In 4.982 -0.897 3.077
In 3.304 -3.629 8.296
In 3.296 4.571 3.139
In 3.828 6.775 0.656
In 7.853 3.464 0.011
In 4.937 3.725 5.790
Ga -1.455 0.595 2.777
Ga -1.400 -1.796 4.376
Ga -0.863 6.521 0.226
Ga -1.443 3.017 4.303
Ga -1.338 -2.093 7.448
Ga 1.450 4.846 0.190
Ga -1.424 2.852 7.371
Ga 3.176 1.474 4.246
Ga 3.272 -0.989 5.755
Ga 3.202 1.464 7.263
Ga 5.381 2.165 2.718
Ga 5.466 -2.656 5.911
Bi 4.429 3.630 0.002